# Rb3Au2Br6 | the Alexandria database | GGA-PBE | optimized geometry
data_Rb3Au2Br6
_chemical_formula_sum 'Rb3 Au2 Br6'
_cell_length_a 5.292
_cell_length_b 5.292
_cell_length_c 14.767
_cell_angle_alpha 100.32
_cell_angle_beta 100.32
_cell_angle_gamma 90.00
_symmetry_space_group_name_H-M 'P 1'
_symmetry_Int_Tables_number 1
_symmetry_space_group_name_Hall 'P 1'
loop_
_atom_site_label
_atom_site_type_symbol
_atom_site_fract_x
_atom_site_fract_y
_atom_site_fract_z
Rb1 Rb 0.000 0.000 0.000
Rb2 Rb 0.818 0.818 0.635
Rb3 Rb 0.182 0.182 0.365
Au1 Au 0.404 0.404 0.808
Au2 Au 0.596 0.596 0.192
Br1 Br 0.083 0.583 0.166
Br2 Br 0.583 0.083 0.166
Br3 Br 0.917 0.417 0.834
Br4 Br 0.417 0.917 0.834
Br5 Br 0.697 0.697 0.394
Br6 Br 0.303 0.303 0.606
# * E_form (uncorrected): -0.99 eV per atom
# * ρ: 4.7 g cm⁻³

# Rb12Au6Br | the Alexandria database | GGA-PBE | optimized geometry
data_Rb12Au6Br
_chemical_formula_sum 'Rb12 Au6 Br1'
_cell_length_a 10.681
_cell_length_b 10.681
_cell_length_c 10.681
_cell_angle_alpha 109.47
_cell_angle_beta 109.47
_cell_angle_gamma 109.47
_symmetry_space_group_name_H-M 'P 1'
_symmetry_Int_Tables_number 1
_symmetry_space_group_name_Hall 'P 1'
loop_
_atom_site_label
_atom_site_type_symbol
_atom_site_fract_x
_atom_site_fract_y
_atom_site_fract_z
Rb1 Rb 0.310 0.130 0.820
Rb2 Rb 0.310 0.489 0.180
Rb3 Rb 0.690 0.511 0.820
Rb4 Rb 0.690 0.870 0.180
Rb5 Rb 0.130 0.820 0.310
Rb6 Rb 0.489 0.180 0.310
Rb7 Rb 0.511 0.820 0.690
Rb8 Rb 0.870 0.180 0.690
Rb9 Rb 0.820 0.310 0.130
Rb10 Rb 0.180 0.310 0.489
Rb11 Rb 0.820 0.690 0.511
Rb12 Rb 0.180 0.690 0.870
Au1 Au 0.383 0.500 0.883
Au2 Au 0.617 0.500 0.117
Au3 Au 0.500 0.883 0.383
Au4 Au 0.500 0.117 0.617
Au5 Au 0.883 0.383 0.500
Au6 Au 0.117 0.617 0.500
Br1 Br 0.000 0.000 0.000
# * E_form (uncorrected): -0.33 eV per atom
# * ρ: 4.0 g cm⁻³

# Rb2AuBr | the Alexandria database | GGA-PBE | optimized geometry
data_Rb2AuBr
_chemical_formula_sum 'Rb4 Au2 Br2'
_cell_length_a 4.976
_cell_length_b 4.887
_cell_length_c 13.669
_cell_angle_alpha 100.30
_cell_angle_beta 90.00
_cell_angle_gamma 90.00
_symmetry_space_group_name_H-M 'P 1'
_symmetry_Int_Tables_number 1
_symmetry_space_group_name_Hall 'P 1'
loop_
_atom_site_label
_atom_site_type_symbol
_atom_site_fract_x
_atom_site_fract_y
_atom_site_fract_z
Rb1 Rb 0.750 0.681 0.363
Rb2 Rb 0.250 0.319 0.637
Rb3 Rb 0.750 0.938 0.875
Rb4 Rb 0.250 0.062 0.125
Au1 Au 0.250 0.466 0.932
Au2 Au 0.750 0.534 0.068
Br1 Br 0.250 0.188 0.377
Br2 Br 0.750 0.812 0.623
# * E_form (uncorrected): -1.01 eV per atom
# * ρ: 4.5 g cm⁻³
# * excess energy over the best structure of this formula in the dataset: 0.000 eV/atom

# RbAu2Br8 | the Alexandria database | GGA-PBE | optimized geometry
data_RbAu2Br8
_chemical_formula_sum 'Rb1 Au2 Br8'
_cell_length_a 5.407
_cell_length_b 8.254
_cell_length_c 8.833
_cell_angle_alpha 62.15
_cell_angle_beta 89.04
_cell_angle_gamma 87.94
_symmetry_space_group_name_H-M 'P 1'
_symmetry_Int_Tables_number 1
_symmetry_space_group_name_Hall 'P 1'
loop_
_atom_site_label
_atom_site_type_symbol
_atom_site_fract_x
_atom_site_fract_y
_atom_site_fract_z
Rb1 Rb 0.500 0.000 0.000
Au1 Au 0.000 0.257 0.486
Au2 Au 0.000 0.743 0.514
Br1 Br 0.992 0.098 0.271
Br2 Br 0.992 0.370 0.729
Br3 Br 0.326 0.417 0.000
Br4 Br 0.500 0.754 0.493
Br5 Br 0.500 0.246 0.507
Br6 Br 0.674 0.583 0.000
Br7 Br 0.008 0.630 0.271
Br8 Br 0.008 0.902 0.729
# * E_form (uncorrected): -0.27 eV per atom
# * ρ: 5.3 g cm⁻³